# 1
! BaCe3As4 (PBE, optimized geometry); values from VASP
&SYSTEM
  ibrav = 0, nat = 16, ntyp = 3
/
ATOMIC_SPECIES
As 74.92 As.upf
Ba 137.33 Ba.upf
Ce 140.12 Ce.upf
ATOMIC_POSITIONS crystal
As 0.6667 0.3333 0.9411
As 0.3333 0.6667 0.0589
As 0.3333 0.6667 0.4411
As 0.6667 0.3333 0.5589
As 0.0000 0.0000 0.8268
As 0.0000 0.0000 0.1732
As 0.0000 0.0000 0.3268
As 0.0000 0.0000 0.6732
Ba 0.6667 0.3333 0.7500
Ba 0.3333 0.6667 0.2500
Ce 0.0000 0.0000 0.0000
Ce 0.0000 0.0000 0.5000
Ce 0.3333 0.6667 0.8808
Ce 0.6667 0.3333 0.1192
Ce 0.6667 0.3333 0.3808
Ce 0.3333 0.6667 0.6192
CELL_PARAMETERS angstrom
-3.0347 0.0200 -3.0586
0.8597 -3.6289 2.1581
-19.7981 7.0192 19.6894
! - Space group: P6_3/mmc (194)
! - E_form: -1.330 eV/atom
! - Total moment: 0.23 μB per atom



# 2
! AlVRh2 (PBE, optimized geometry); values from VASP
&SYSTEM
  ibrav = 0, nat = 8, ntyp = 3
/
ATOMIC_SPECIES
Rh 102.91 Rh.upf
Al 26.98 Al.upf
V 50.94 V.upf
ATOMIC_POSITIONS crystal
Rh 0.6463 0.1250 0.2500
Rh 0.1037 0.6250 0.2500
Rh 0.3750 0.3537 0.7500
Rh 0.8750 0.8963 0.7500
Al 0.5000 0.5000 0.0000
Al 0.2500 0.7500 0.5000
V 0.0000 0.0000 0.0000
V 0.7500 0.2500 0.5000
CELL_PARAMETERS angstrom
-3.5662 -4.6494 -3.2179
2.2776 -4.6633 4.2137
-2.7796 -4.1812 2.1779
! - Space group: I-42d (122)
! - E_form: -0.101 eV/atom
! - Total moment: 0.00 μB per atom



# 3
! TePt2W (PBE, optimized geometry); values from VASP
&SYSTEM
  ibrav = 0, nat = 4, ntyp = 3
/
ATOMIC_SPECIES
Pt 195.08 Pt.upf
Te 127.60 Te.upf
W 183.84 W.upf
ATOMIC_POSITIONS crystal
Pt 0.0000 0.0000 0.0000
Pt 0.5000 0.0000 0.5000
Te 0.0000 0.5000 0.5000
W 0.5000 0.5000 0.0000
CELL_PARAMETERS angstrom
6.2555 -0.0095 -0.0312
-2.4528 4.5052 -0.0036
1.3499 0.7463 2.4629
! - Space group: C2/m (12)
! - Electronic total energy: -0.4958 Ry/atom
! - Total moment: 0.00 μB per atom



# 4
! Zr2CdRu (PBE, optimized geometry); values from VASP
&SYSTEM
  ibrav = 0, nat = 4, ntyp = 3
/
ATOMIC_SPECIES
Cd 112.41 Cd.upf
Ru 101.07 Ru.upf
Zr 91.22 Zr.upf
ATOMIC_POSITIONS crystal
Cd 0.5000 0.0000 0.5000
Ru 0.0000 0.5000 0.5000
Zr 0.0000 0.0000 0.0000
Zr 0.5000 0.5000 0.0000
CELL_PARAMETERS angstrom
-0.1165 2.5147 -4.1232
2.3141 -3.5914 -2.2558
-2.9450 -1.4098 -0.7766
! - Space group: P4/mmm (123)
! - E_form: -0.214 eV/atom
! - Total moment: 0.00 μB per atom



# 5
! P3C (PBE, optimized geometry); values from VASP
&SYSTEM
  ibrav = 0, nat = 16, ntyp = 2
/
ATOMIC_SPECIES
P 30.97 P.upf
C 12.01 C.upf
ATOMIC_POSITIONS crystal
P 0.2592 0.7500 0.7500
P 0.7592 0.7500 0.2500
P 0.2408 0.2500 0.7500
P 0.7408 0.2500 0.2500
P 0.7888 0.2505 0.8969
P 0.2888 0.2495 0.1031
P 0.7112 0.7505 0.6031
P 0.2112 0.7495 0.3969
P 0.2112 0.7495 0.1031
P 0.7112 0.7505 0.8969
P 0.2888 0.2495 0.3969
P 0.7888 0.2505 0.6031
C 0.5144 0.7504 0.7500
C 0.0144 0.7496 0.2500
C 0.9856 0.2504 0.7500
C 0.4856 0.2496 0.2500
CELL_PARAMETERS angstrom
-4.7299 0.0561 5.0245
-3.2961 -1.8168 -3.0826
2.0682 -7.1920 2.0273
! - Space group: Cmcm (63)
! - E_form: 0.634 eV/atom
! - Total moment: 0.00 μB per atom



# 6
! LiIn2Pt (PBE, optimized geometry); values from VASP
&SYSTEM
  ibrav = 0, nat = 4, ntyp = 3
/
ATOMIC_SPECIES
In 114.82 In.upf
Li 6.94 Li.upf
Pt 195.08 Pt.upf
ATOMIC_POSITIONS crystal
In 0.0000 0.0000 0.9963
In 0.0000 0.0000 0.5037
Li 0.5000 0.5000 0.2500
Pt 0.5000 0.5000 0.7500
CELL_PARAMETERS angstrom
3.3802 0.0000 0.0000
0.0000 3.5748 0.0000
0.0000 0.0000 6.1081
! - Space group: Pmmm (47)
! - E_form: -0.396 eV/atom
! - Total moment: 0.00 μB per atom



# 7
! YIn2W (PBE, optimized geometry); values from VASP
&SYSTEM
  ibrav = 0, nat = 4, ntyp = 3
/
ATOMIC_SPECIES
In 114.82 In.upf
W 183.84 W.upf
Y 88.91 Y.upf
ATOMIC_POSITIONS crystal
In 0.0000 0.0000 0.0000
In 0.5000 0.5000 0.0000
W 0.5000 0.0000 0.5000
Y 0.0000 0.5000 0.5000
CELL_PARAMETERS angstrom
4.3614 0.0000 0.0000
0.0000 4.3594 0.0000
0.0000 0.0000 4.5777
! - Space group: P4/mmm (123)
! - E_form: 0.280 eV/atom
! - Total moment: 0.00 μB per atom



# 8
! TaSiIr2 (PBE, optimized geometry); values from VASP
&SYSTEM
  ibrav = 0, nat = 4, ntyp = 3
/
ATOMIC_SPECIES
Ir 192.22 Ir.upf
Si 28.09 Si.upf
Ta 180.95 Ta.upf
ATOMIC_POSITIONS crystal
Ir 0.0000 0.0000 0.0000
Ir 0.2500 0.7500 0.5000
Si 0.5000 0.5000 0.0000
Ta 0.7500 0.2500 0.5000
CELL_PARAMETERS angstrom
4.8738 -0.0046 0.0000
1.8547 4.5071 0.0000
-3.3642 -2.2512 2.7143
! - Space group: I-4m2 (119)
! - Electronic total energy: -0.6735 Ry/atom
! - Total moment: 0.00 μB per atom



# 9
! Ac4Te2AsSe (PBE, optimized geometry); values from VASP
&SYSTEM
  ibrav = 0, nat = 8, ntyp = 4
/
ATOMIC_SPECIES
Ac 227.00 Ac.upf
Te 127.60 Te.upf
As 74.92 As.upf
Se 78.96 Se.upf
ATOMIC_POSITIONS crystal
Ac 0.5000 0.2371 0.2227
Ac 0.5000 0.7629 0.7773
Ac 0.0000 0.2548 0.7757
Ac 0.0000 0.7452 0.2243
Te 0.5000 0.0000 0.5000
Te 0.0000 0.5000 0.5000
As 0.0000 0.0000 0.0000
Se 0.5000 0.5000 0.0000
CELL_PARAMETERS angstrom
-1.0181 -3.4595 -2.8232
3.6376 -5.0648 4.8945
-7.8375 0.5662 2.1326
! - Space group: P2/m (10)
! - Electronic total energy: -0.4031 Ry/atom
! - Total moment: 0.00 μB per atom



# 10
! BiPd2Pb3 (PBE, optimized geometry); values from VASP
&SYSTEM
  ibrav = 0, nat = 24, ntyp = 3
/
ATOMIC_SPECIES
Bi 208.98 Bi.upf
Pd 106.42 Pd.upf
Pb 207.20 Pb.upf
ATOMIC_POSITIONS crystal
Bi 0.5506 0.7242 0.4890
Bi 0.9494 0.2242 0.0110
Bi 0.4494 0.2758 0.5110
Bi 0.0506 0.7758 0.9890
Pd 0.6364 0.6865 0.2093
Pd 0.8636 0.1865 0.2907
Pd 0.3636 0.3135 0.7907
Pd 0.1364 0.8135 0.7093
Pd 0.3591 0.6697 0.4265
Pd 0.1409 0.1697 0.0735
Pd 0.6409 0.3303 0.5735
Pd 0.8591 0.8303 0.9265
Pb 0.3169 0.9957 0.0730
Pb 0.1831 0.4957 0.4270
Pb 0.6831 0.0043 0.9270
Pb 0.8169 0.5043 0.5730
Pb 0.2609 0.4900 0.0059
Pb 0.2391 0.9900 0.4941
Pb 0.7391 0.5100 0.9941
Pb 0.7609 0.0100 0.5059
Pb 0.9484 0.7704 0.3768
Pb 0.5516 0.2704 0.1232
Pb 0.0516 0.2296 0.6232
Pb 0.4484 0.7296 0.8768
CELL_PARAMETERS angstrom
-4.7634 -9.5483 10.9747
6.0700 -2.2948 0.6381
2.1424 6.2461 2.0826
! - Space group: P2_1/c (14)
! - E_form: -0.154 eV/atom
! - Total moment: 0.00 μB per atom



# 11
! ZnInI2 (PBE, optimized geometry); values from VASP
&SYSTEM
  ibrav = 0, nat = 4, ntyp = 3
/
ATOMIC_SPECIES
I 126.90 I.upf
Zn 65.41 Zn.upf
In 114.82 In.upf
ATOMIC_POSITIONS crystal
I 0.2500 0.2500 0.2500
I 0.7500 0.7500 0.7500
Zn 0.0000 0.0000 0.0000
In 0.5000 0.5000 0.5000
CELL_PARAMETERS angstrom
2.6210 -2.2998 4.4735
0.6413 3.0074 4.7660
-2.9708 -1.3636 4.6353
! - Space group: Fm-3m (225)
! - Electronic total energy: -0.1357 Ry/atom
! - Total moment: 0.00 μB per atom



# 12
! Hg2IO6 (PBE, optimized geometry); values from VASP
&SYSTEM
  ibrav = 0, nat = 18, ntyp = 3
/
ATOMIC_SPECIES
Hg 200.59 Hg.upf
I 126.90 I.upf
O 16.00 O.upf
ATOMIC_POSITIONS crystal
Hg 0.9889 0.4492 0.7954
Hg 0.5111 0.9492 0.7046
Hg 0.4889 0.0508 0.2954
Hg 0.0111 0.5508 0.2046
I 0.5000 0.5000 0.0000
I 0.0000 0.0000 0.5000
O 0.8438 0.8580 0.3308
O 0.8562 0.7587 0.6264
O 0.7715 0.6967 0.9648
O 0.7285 0.1967 0.5352
O 0.6438 0.2587 0.8736
O 0.6562 0.3580 0.1692
O 0.1562 0.1420 0.6692
O 0.1438 0.2413 0.3736
O 0.2285 0.3033 0.0352
O 0.2715 0.8033 0.4648
O 0.3562 0.7413 0.1264
O 0.3438 0.6420 0.8308
CELL_PARAMETERS angstrom
-2.5132 -2.0107 4.6206
-2.4627 -3.8853 -3.0302
6.8446 -5.6520 1.6843
! - Space group: P2_1/c (14)
! - Electronic total energy: -0.2712 Ry/atom
! - Total moment: 0.00 μB per atom